Density functional theory data (PBE) for a geometry-optimized MgTeSN2 structure.

Lattice parameters (Å, degrees): 4.150 4.150 5.013 90.00 90.00 90.00
Space group P4/mmm (No. 123)
Unique sites:
Mg  0.000  0.000  0.000
Te  0.500  0.500  0.500
S  0.000  0.000  0.500
N  0.000  0.500  0.000

Properties
The calculation puts the relative energy among the computed polymorphs at 1.99 eV per formula unit. For the raw formation energy, the calculation gives 1.236 eV per atom. For the uncorrected energy, the calculation gives -3.867 eV per atom. The value obtained for the density of states at the Fermi level is 2.54 states/eV/cell.



Density functional theory data (PBE) for a geometry-optimized MgTeSN2 structure.

Lattice parameters (Å, degrees): 4.074 4.074 6.500 90.00 90.00 90.00
Space group P4/mmm (No. 123)
Unique sites:
Mg  0.000  0.000  0.000
Te  0.000  0.000  0.500
S  0.500  0.500  0.500
N  0.000  0.500  0.000

Properties
The calculation puts the relative energy among the computed polymorphs at 2.51 eV per formula unit. For the raw formation energy, the calculation gives 1.342 eV per atom. For the uncorrected energy, the calculation gives -3.761 eV per atom. The value obtained for the density of states at the Fermi level is 2.03 states/eV/cell.



Density functional theory data (PBE) for a geometry-optimized MgTeSN2 structure.

Lattice parameters (Å, degrees): 3.945 3.945 5.450 90.00 90.00 90.00
Space group P4/mmm (No. 123)
Unique sites:
Mg  0.000  0.000  0.000
Te  0.500  0.500  0.500
S  0.500  0.500  0.000
N  0.000  0.500  0.500

Properties
The calculation puts the relative energy among the computed polymorphs at 0.00 eV per formula unit. For the raw formation energy, the calculation gives 0.839 eV per atom. For the uncorrected energy, the calculation gives -4.264 eV per atom. The value obtained for the density of states at the Fermi level is 0.97 states/eV/cell.